Entry 1:
This record from Alexandria describes a relaxed structure of Al3BiSe. The functional is PBE-GGA.

Cell lengths 5.040, 5.040, 5.040 Å; angles 90.00, 90.00, 90.00 degrees
Fractional coordinates of all 5 atoms:
Al  0.000  0.000  0.500
Al  0.000  0.500  0.000
Al  0.500  0.000  0.000
Bi  0.500  0.500  0.500
Se  0.000  0.000  0.000

Calculated values
E above lowest polymorph (eV/atom): 0.0000
SG: No. 221
Uncorrected formation energy (eV/atom): 0.4203

=====

Entry 2:
This record from Alexandria describes a relaxed structure of AlBiSe4. The functional is PBE-GGA.

Cell lengths 7.357, 7.357, 12.239 Å; angles 90.00, 90.00, 90.00 degrees
Fractional coordinates of all 24 atoms:
Al  0.000  0.000  0.000
Al  0.000  0.000  0.500
Al  0.500  0.500  0.250
Al  0.500  0.500  0.750
Bi  0.000  0.500  0.047
Bi  0.000  0.500  0.453
Bi  0.500  0.000  0.547
Bi  0.500  0.000  0.953
Se  0.187  0.225  0.901
Se  0.187  0.775  0.599
Se  0.225  0.187  0.401
Se  0.225  0.813  0.099
Se  0.280  0.291  0.164
Se  0.280  0.709  0.336
Se  0.291  0.280  0.664
Se  0.291  0.720  0.836
Se  0.709  0.280  0.836
Se  0.709  0.720  0.664
Se  0.720  0.291  0.336
Se  0.720  0.709  0.164
Se  0.775  0.187  0.099
Se  0.775  0.813  0.401
Se  0.813  0.225  0.599
Se  0.813  0.775  0.901

Calculated values
SG: No. 112
Uncorrected formation energy (eV/atom): -0.2680

=====

Entry 3:
This record from Alexandria describes a relaxed structure of Al2BiSe. The functional is PBE-GGA.

Cell lengths 7.818, 7.818, 7.818 Å; angles 133.99, 133.99, 67.11 degrees
Fractional coordinates of all 8 atoms:
Al  0.097  0.625  0.972
Al  0.375  0.347  0.472
Al  0.653  0.125  0.028
Al  0.875  0.903  0.528
Bi  0.250  0.750  0.500
Bi  0.500  0.500  0.000
Se  0.000  0.000  0.000
Se  0.750  0.250  0.500

Calculated values
E above lowest polymorph (eV/atom): 0.0000
SG: No. 122
Uncorrected formation energy (eV/atom): -0.0506

=====

Entry 4:
This record from Alexandria describes a relaxed structure of Al2BiSe6. The functional is PBE-GGA.

Cell lengths 10.130, 10.130, 7.142 Å; angles 102.11, 102.11, 73.55 degrees
Fractional coordinates of all 18 atoms:
Al  0.187  0.310  0.250
Al  0.310  0.187  0.750
Al  0.690  0.813  0.250
Al  0.813  0.690  0.750
Bi  0.083  0.917  0.250
Bi  0.917  0.083  0.750
Se  0.007  0.180  0.168
Se  0.039  0.535  0.380
Se  0.180  0.007  0.668
Se  0.237  0.385  0.984
Se  0.385  0.237  0.484
Se  0.465  0.961  0.120
Se  0.535  0.039  0.880
Se  0.615  0.763  0.516
Se  0.763  0.615  0.016
Se  0.820  0.993  0.332
Se  0.961  0.465  0.620
Se  0.993  0.820  0.832

Calculated values
SG: No. 15
Uncorrected formation energy (eV/atom): -0.4414

=====

Question: Number 1 is which compound?
Answer: Al3BiSe

=====

Question: Which value of uncorrected formation energy does entry 4 give?
Answer: -0.4414 eV/atom

=====

Question: Which of these has the highest uncorrected formation energy?
Answer: Al3BiSe